CdAsIrBr2: optimized geometry, PBE-GGA.

Calculated values
* raw formation energy: 0.238 eV per atom
* uncorrected energy: -3.32 eV per atom
* total moment: 0.0 μB/f.u.
* distance to the lowest polymorph of the same formula: 0.0 meV/atom

Unit cell a=5.3481 b=5.3481 c=4.6528 alpha=90.00 beta=90.00 gamma=90.00
Fractional coordinates of all 5 atoms:
Ir (0.0000, 0.0000, 0.0000)
As (0.0000, 0.0000, 0.5000)
Br (0.0000, 0.5000, 0.0000)
Br (0.5000, 0.0000, 0.0000)
Cd (0.5000, 0.5000, 0.5000)